# 1
Computed, not measured: crystalline CdIn2NiCl at its relaxed geometry at the GGA-PBE level of DFT.

Output
relative energy among the computed polymorphs = 946 meV/atom
Fermi-level density of states = 23.1 states/eV per cell
energy = -10.66 eV/cell

Lattice parameters (Å, degrees): 5.5936 5.5936 5.2829 90.00 90.00 90.00
Last column: nearest neighbours and their distance in Å.
Space group P4/mmm (No. 123)
Symmetry-distinct sites (fractional):
Cd1 0.0000 0.0000 0.0000 [1 per cell]  2 Cl 2.64, 4 In 2.80
In1 0.0000 0.5000 0.0000 [2 per cell]  2 Cd 2.80
Ni1 0.5000 0.5000 0.5000 [1 per cell]  8 In 3.85, 4 Cl 3.96
Cl1 0.0000 0.0000 0.5000 [1 per cell]  2 Cd 2.64

***

# 2
Computed, not measured: crystalline CdIn2NiCl at its relaxed geometry at the GGA-PBE level of DFT.

Output
relative energy among the computed polymorphs = 0 meV/atom
Fermi-level density of states = 1.7 states/eV per cell
energy = -15.39 eV/cell

Lattice parameters (Å, degrees): 4.9976 4.9976 5.0789 90.00 90.00 90.00
Last column: nearest neighbours and their distance in Å.
Space group P4/mmm (No. 123)
Symmetry-distinct sites (fractional):
Cd1 0.0000 0.0000 0.0000 [1 per cell]  2 Ni 2.54
In1 0.0000 0.5000 0.5000 [2 per cell]  2 Ni 2.50
Ni1 0.0000 0.0000 0.5000 [1 per cell]  4 In 2.50, 2 Cd 2.54
Cl1 0.5000 0.5000 0.0000 [1 per cell]  4 Cd 3.53, 8 In 3.56

***

# 3
Computed, not measured: crystalline NpCdIn2Cl8 at its relaxed geometry at the GGA-PBE level of DFT.

Output
Fermi-level density of states = 3.1 states/eV per cell
energy = -48.68 eV/cell

Lattice parameters (Å, degrees): 6.7029 7.0278 8.5226 90.01 90.01 92.98
Last column: nearest neighbours and their distance in Å.
Space group P-1 (No. 2)
Symmetry-distinct sites (fractional):
Np1 0.0000 0.0000 0.0000 [1 per cell]  6 Cl 2.61-2.64
Cd1 0.0000 0.0000 0.5000 [1 per cell]  2 Cl 2.45
In1 0.5002 0.4993 0.7380 [2 per cell]  6 Cl 3.09-3.26
Cl1 0.2171 0.2911 0.5001 [2 per cell]  1 Cd 2.45
Cl2 0.2170 0.8614 0.2279 [2 per cell]  1 Np 2.64, 1 Cd 2.93
Cl3 0.2168 0.8610 0.7722 [2 per cell]  1 Np 2.64, 1 Cd 2.93
Cl4 0.2275 0.3127 0.9999 [2 per cell]  1 Np 2.61

***

no.,theoretical density (g cm⁻³)
1,4.38
2,5.71
3,3.57